Entry 1:
A relaxed structure of CoTcOs2, computed with PBE-GGA.

As for the density: 16.487 g/cm3. For the relative energy among the computed polymorphs, the calculation gives 19.5 meV per atom. The density of states at the Fermi level is 4.43 states/eV per cell. Its space group is No. 47. As for the total energy: -39.5 eV for the cell shown. The formation energy from the elements comes out at 46 kJ/mol of formula units.

Unit cell a=3.7771 b=2.6798 c=5.9815 alpha=63.37 beta=90.00 gamma=90.00
Last column: nearest neighbours and their distance in Å.
Fractional coordinates of all 4 atoms:
1 Co 0.5000 0.7500 0.7500  8 Os 2.64, 2 Tc 2.67, 2 Co 2.68
2 Os 0.0000 0.0126 0.9875  4 Os 2.54-2.81, 4 Co 2.64, 4 Tc 2.71
3 Os 0.0000 0.4874 0.5125  4 Os 2.54-2.81, 4 Co 2.64, 4 Tc 2.71
4 Tc 0.5000 0.2500 0.2500  2 Co 2.67, 2 Tc 2.68, 8 Os 2.71


Entry 2:
A relaxed structure of NaZn4P3, computed with PBE-GGA.

As for the density: 4.135 g/cm3. The density of states at the Fermi level is 0.01 states/eV per cell. Its space group is No. 166. As for the total energy: -24.9 eV for the cell shown. The formation energy from the elements comes out at -217 kJ/mol of formula units.

Unit cell a=4.0311 b=4.0311 c=11.0228 alpha=79.46 beta=79.46 gamma=60.00
Last column: nearest neighbours and their distance in Å.
Fractional coordinates of all 8 atoms:
1 Na 0.5000 0.5000 0.5000  6 P 3.05, 6 Zn 3.33
2 Zn 0.0931 0.0931 0.7208  3 P 2.36
3 Zn 0.9069 0.9069 0.2792  3 P 2.36
4 Zn 0.3013 0.3013 0.0961  4 P 2.38-2.55
5 Zn 0.6987 0.6987 0.9039  4 P 2.38-2.55
6 P 0.2276 0.2276 0.3172  4 Zn 2.36-2.38
7 P 0.7724 0.7724 0.6828  4 Zn 2.36-2.38
8 P 0.0000 0.0000 0.0000  6 Zn 2.55


Entry 3:
A relaxed structure of Sr2CdAg, computed with PBE-GGA.

As for the density: 4.825 g/cm3. The density of states at the Fermi level is 4.59 states/eV per cell. Its space group is No. 11. As for the total energy: -16.7 eV for the cell shown. The formation energy from the elements comes out at -119 kJ/mol of formula units.

Unit cell a=4.9275 b=6.4914 c=9.0876 alpha=110.51 beta=90.00 gamma=90.00
Last column: nearest neighbours and their distance in Å.
Fractional coordinates of all 8 atoms:
1 Sr 0.7500 0.2208 0.4269  3 Ag 3.42-3.46, 4 Cd 3.42-3.51
2 Sr 0.2500 0.7792 0.5731  3 Ag 3.42-3.46, 4 Cd 3.42-3.51
3 Sr 0.2500 0.7890 0.0689  4 Ag 3.44-3.51, 3 Cd 3.44-3.47
4 Sr 0.7500 0.2110 0.9311  4 Ag 3.44-3.51, 3 Cd 3.44-3.47
5 Cd 0.7500 0.6431 0.2838  2 Ag 2.98
6 Cd 0.2500 0.3569 0.7162  2 Ag 2.98
7 Ag 0.2500 0.3660 0.2141  2 Cd 2.98
8 Ag 0.7500 0.6340 0.7859  2 Cd 2.98


Entry 4:
A relaxed structure of ZrOs2Pb, computed with PBE-GGA.

As for the density: 14.962 g/cm3. The density of states at the Fermi level is 3.20 states/eV per cell. Its space group is No. 99. As for the total energy: -33.4 eV for the cell shown. The formation energy from the elements comes out at 131 kJ/mol of formula units.

Unit cell a=3.0024 b=3.0024 c=8.3578 alpha=90.00 beta=90.00 gamma=90.00
Last column: nearest neighbours and their distance in Å.
Fractional coordinates of all 4 atoms:
1 Os 0.0000 0.0000 0.0300  4 Os 2.63
2 Os 0.5000 0.5000 0.2164  4 Os 2.63
3 Pb 0.0000 0.0000 0.4782  4 Pb 3.00, 4 Os 3.05, 4 Zr 3.27
4 Zr 0.5000 0.5000 0.7753  4 Zr 3.00, 4 Os 3.01, 4 Pb 3.27


Entry 5:
A relaxed structure of Mg4Cd6In, computed with PBE-GGA.

As for the density: 5.231 g/cm3. For the relative energy among the computed polymorphs, the calculation gives 57.0 meV per atom. The density of states at the Fermi level is 3.81 states/eV per cell. Its space group is No. 121. As for the total energy: -13.8 eV for the cell shown. The formation energy from the elements comes out at 81 kJ/mol of formula units.

Unit cell a=7.5183 b=7.5183 c=7.5183 alpha=83.57 beta=123.78 gamma=123.78
Last column: nearest neighbours and their distance in Å.
Fractional coordinates of all 11 atoms:
1 Mg 0.0000 0.0846 0.5629  3 Cd 2.77-3.01
2 Mg 0.5218 0.4371 0.4371  3 Cd 2.77-3.01
3 Mg 0.0000 0.5629 0.0846  3 Cd 2.77-3.01
4 Mg 0.4782 0.9154 0.9154  3 Cd 2.77-3.01
5 Cd 0.0000 0.7530 0.4367  3 Mg 2.77-3.01, 4 Cd 2.87-3.09
6 Cd 0.0000 0.4367 0.7530  3 Mg 2.77-3.01, 4 Cd 2.87-3.09
7 Cd 0.6838 0.2470 0.2470  3 Mg 2.77-3.01, 4 Cd 2.87-3.09
8 Cd 0.5000 0.0000 0.5000  4 Cd 2.87, 4 Mg 3.19
9 Cd 0.3162 0.5633 0.5633  3 Mg 2.77-3.01, 4 Cd 2.87-3.09
10 Cd 0.5000 0.5000 0.0000  4 Cd 2.87, 4 Mg 3.19
11 In 0.0000 0.0000 0.0000  4 Mg 3.28, 8 Cd 3.54-3.59


Entry 6:
A relaxed structure of GdTl2In, computed with PBE-GGA.

As for the density: 10.587 g/cm3. For the relative energy among the computed polymorphs, the calculation gives 0.0 meV per atom. The density of states at the Fermi level is 2.59 states/eV per cell. Its space group is No. 123. As for the total energy: -22.8 eV for the cell shown. The formation energy from the elements comes out at -120 kJ/mol of formula units.

Unit cell a=4.7197 b=4.7565 c=4.7565 alpha=90.00 beta=90.00 gamma=90.00
Last column: nearest neighbours and their distance in Å.
Fractional coordinates of all 4 atoms:
1 Tl 0.0000 0.0000 0.5000  4 In 3.35, 4 Gd 3.35, 4 Tl 3.36
2 Tl 0.0000 0.5000 0.0000  4 In 3.35, 4 Gd 3.35, 4 Tl 3.36
3 Gd 0.5000 0.0000 0.0000  8 Tl 3.35, 4 In 3.36
4 In 0.5000 0.5000 0.5000  8 Tl 3.35, 4 Gd 3.36